The following is a PBE-GGA calculation of Pr2YZn2 after structural relaxation, from the Alexandria database.

The energy relative to the lowest polymorph listed for this composition comes out at 0.00 eV/f.u. Its final energy is -3.92 eV/atom. The total magnetization is 0.03 μB/f.u.

The space group is Cmmm (No. 65) and the conventional cell measures 3.6944, 20.3804 and 3.5864 Å, with angles of 90.00, 90.00 and 90.00 degrees. Symmetry generates all atoms from Pr at (0.0000, 0.1746, 0.0000), Y at (0.0000, 0.0000, 0.0000) and Zn at (0.0000, 0.4185, 0.5000).

***

The following is a PBE-GGA calculation of LaZn3Ir after structural relaxation, from the Alexandria database.

The energy relative to the lowest polymorph listed for this composition comes out at 0.67 eV/f.u. Its final energy is -3.79 eV/atom. The total magnetization is 0.00 μB/f.u.

The space group is Pm-3m (No. 221) and the conventional cell measures 4.7997, 4.7997 and 4.7997 Å, with angles of 90.00, 90.00 and 90.00 degrees. Symmetry generates all atoms from La at (0.0000, 0.0000, 0.0000), Zn at (0.0000, 0.5000, 0.5000) and Ir at (0.5000, 0.5000, 0.5000).